(1)
The following is a PBE calculation of a relaxed structure of K2BeH2, from Alexandria.

Output
calculated volume = 134 Å³ per cell
M_tot = 0.00 μB/cell
energy = -1.92 eV/atom

POSCAR file:
```
K2BeH2
1.0
4.983 0.000 0.000
0.000 4.983 0.000
2.492 2.492 5.391
Be K H
1 2 2
direct
0.000 0.000 0.000
0.327 0.327 0.347
0.673 0.673 0.653
0.750 0.250 0.500
0.250 0.750 0.500
```

---

(2)
The following is a PBE calculation of a relaxed structure of K2BeH6, from Alexandria.

Output
calculated volume = 119 Å³ per cell
M_tot = 1.69 μB/cell
energy = -2.72 eV/atom

POSCAR file:
```
K2BeH6
1.0
-4.957 0.868 2.281
-0.365 1.990 5.142
-1.787 5.159 0.845
Be K H
1 2 6
direct
0.000 0.000 0.000
0.750 0.750 0.750
0.250 0.250 0.250
0.195 0.805 0.195
0.805 0.195 0.195
0.195 0.805 0.805
0.805 0.195 0.805
0.805 0.805 0.195
0.195 0.195 0.805
```

---

(3)
The following is a PBE calculation of a relaxed structure of KBe2H, from Alexandria.

Output
calculated volume = 80 Å³ per cell
M_tot = 0.00 μB/cell
energy = -1.29 eV/atom

POSCAR file:
```
KBe2H
1.0
0.000 3.423 3.423
3.423 0.000 3.423
3.423 3.423 0.000
Be K H
2 1 1
direct
0.250 0.250 0.250
0.750 0.750 0.750
0.500 0.500 0.500
0.000 0.000 0.000
```

---

(4)
The following is a PBE calculation of a relaxed structure of KBeH3, from Alexandria.

Output
calculated volume = 106 Å³ per cell
M_tot = 0.00 μB/cell
energy = -3.15 eV/atom

POSCAR file:
```
KBeH3
1.0
4.797 0.028 -2.607
-0.049 4.120 -0.047
-0.140 0.063 5.460
K Be H
2 2 6
direct
0.326 0.901 0.409
0.659 0.401 0.075
0.993 0.151 0.743
0.992 0.651 0.741
0.126 0.400 0.009
0.859 0.901 0.475
0.260 0.900 0.875
0.859 0.901 0.876
0.126 0.401 0.608
0.726 0.401 0.609
```

---

(5)
The following is a PBE calculation of a relaxed structure of KBeH2, from Alexandria.

Output
calculated volume = 55 Å³ per cell
M_tot = 0.00 μB/cell
energy = -2.00 eV/atom

POSCAR file:
```
KBeH2
1.0
2.090 -0.536 3.674
-2.112 0.171 3.697
-0.585 -3.548 2.286
Be K H
1 1 2
direct
0.000 0.000 0.000
0.500 0.500 0.500
0.250 0.250 0.250
0.750 0.750 0.750
```

---

(6)
The following is a PBE calculation of a relaxed structure of KBeH2, from Alexandria.

Output
calculated volume = 107 Å³ per cell
M_tot = 0.00 μB/cell
energy = -2.62 eV/atom

POSCAR file:
```
KBeH2
1.0
-4.636 -0.688 -0.621
0.649 -0.149 -4.681
-1.326 -5.136 -2.408
Be K H
2 2 4
direct
0.500 0.500 0.000
0.250 0.750 0.500
0.000 0.000 0.000
0.750 0.250 0.500
0.376 0.125 0.250
0.374 0.625 0.250
0.375 0.624 0.750
0.875 0.626 0.750
```

---

(7)
The following is a PBE calculation of a relaxed structure of KBe2H, from Alexandria.

Output
calculated volume = 121 Å³ per cell
M_tot = 0.00 μB/cell
energy = -2.13 eV/atom

POSCAR file:
```
KBe2H
1.0
-3.730 1.436 -3.861
-3.415 -3.992 1.814
-5.201 1.259 1.493
Be K H
4 2 2
direct
0.375 0.125 0.250
0.375 0.625 0.250
0.375 0.625 0.750
0.875 0.625 0.750
0.000 0.000 0.000
0.750 0.250 0.500
0.500 0.500 0.000
0.250 0.750 0.500
```

---

(8)
The following is a PBE calculation of a relaxed structure of K4BeH6, from Alexandria.

Output
calculated volume = 437 Å³ per cell
M_tot = 0.12 μB/cell
energy = -2.79 eV/atom

POSCAR file:
```
K4BeH6
1.0
7.145 0.000 2.157
3.670 5.828 0.757
0.634 -2.048 10.809
K Be H
8 2 12
direct
0.311 0.920 0.690
0.078 0.420 0.190
0.689 0.240 0.516
0.555 0.740 0.016
0.001 0.516 0.632
0.850 0.016 0.132
0.616 0.247 0.852
0.285 0.747 0.352
0.618 0.860 0.381
0.140 0.360 0.881
0.481 0.410 0.120
0.989 0.910 0.620
0.609 0.673 0.437
0.281 0.173 0.937
0.414 0.098 0.463
0.025 0.598 0.963
0.967 0.330 0.869
0.833 0.830 0.369
0.073 0.069 0.245
0.613 0.569 0.745
0.302 0.323 0.747
0.628 0.823 0.247
```

---

(9)
The following is a PBE calculation of a relaxed structure of K2BeH5, from Alexandria.

Output
calculated volume = 120 Å³ per cell
M_tot = 0.89 μB/cell
energy = -2.87 eV/atom

POSCAR file:
```
K2BeH5
1.0
5.585 0.000 0.000
0.000 5.585 0.000
-2.792 -2.792 3.844
K Be H
2 1 5
direct
0.250 0.750 0.499
0.750 0.250 0.499
0.956 0.956 0.911
0.831 0.195 0.026
0.195 0.195 0.026
0.831 0.831 0.026
0.195 0.831 0.026
0.769 0.769 0.538
```

---

(10)
The following is a PBE calculation of a relaxed structure of K2BeH2, from Alexandria.

Output
calculated volume = 217 Å³ per cell
M_tot = 0.00 μB/cell
energy = -1.92 eV/atom

POSCAR file:
```
K2BeH2
1.0
8.131 0.000 0.000
0.000 8.131 0.000
0.000 0.000 3.283
Be K H
2 4 4
direct
0.000 0.000 0.000
0.500 0.500 0.000
0.354 0.854 0.000
0.854 0.646 0.000
0.646 0.146 0.000
0.146 0.354 0.000
0.149 0.649 0.500
0.649 0.851 0.500
0.851 0.351 0.500
0.351 0.149 0.500
```

---

(11)
The following is a PBE calculation of a relaxed structure of KBeH4, from Alexandria.

Output
calculated volume = 139 Å³ per cell
M_tot = 0.00 μB/cell
energy = -3.10 eV/atom

POSCAR file:
```
KBeH4
1.0
-2.227 4.008 -3.224
-3.737 1.291 4.187
5.064 1.498 0.097
K Be H
2 2 8
direct
0.739 0.776 0.551
0.261 0.224 0.449
0.180 0.568 0.135
0.820 0.432 0.865
0.214 0.732 0.463
0.415 0.371 0.031
0.000 0.316 0.000
0.585 0.340 0.969
0.786 0.268 0.537
0.585 0.629 0.969
0.000 0.684 0.000
0.415 0.660 0.031
```

---

(12)
The following is a PBE calculation of a relaxed structure of KLi3Be4H12, from Alexandria.

Output
calculated volume = 189 Å³ per cell
M_tot = 0.00 μB/cell
energy = -3.21 eV/atom

POSCAR file:
```
KLi3Be4H12
1.0
-5.955 -1.195 0.510
2.900 -3.794 3.789
0.864 5.642 2.138
K Li Be H
1 3 4 12
direct
0.000 0.000 0.000
0.559 0.441 0.000
0.441 0.000 0.559
0.000 0.559 0.441
0.924 0.076 0.500
0.076 0.500 0.924
0.500 0.924 0.076
0.500 0.500 0.500
0.500 0.357 0.643
0.931 0.500 0.069
0.069 0.931 0.500
0.500 0.069 0.931
0.354 0.911 0.216
0.216 0.354 0.911
0.911 0.216 0.354
0.646 0.784 0.089
0.089 0.646 0.784
0.784 0.089 0.646
0.643 0.500 0.357
0.357 0.643 0.500
```

---

(13)
The following is a PBE calculation of a relaxed structure of K2LiBeH4, from Alexandria.

Output
calculated volume = 341 Å³ per cell
M_tot = 0.00 μB/cell
energy = -2.87 eV/atom

POSCAR file:
```
K2LiBeH4
1.0
-1.137 1.041 -4.248
-0.256 -3.796 -3.266
-16.850 -1.667 1.697
K Li Be H
4 2 2 8
direct
0.183 0.000 0.634
0.817 0.000 0.366
0.567 0.500 0.866
0.933 0.500 0.134
0.750 0.500 0.500
0.000 0.000 0.000
0.250 0.500 0.500
0.500 0.000 0.000
0.374 0.818 0.049
0.241 0.182 0.951
0.807 0.818 0.951
0.577 0.182 0.049
0.376 0.682 0.451
0.509 0.318 0.549
0.943 0.682 0.549
0.173 0.318 0.451
```

---

(14)
The following is a PBE calculation of a relaxed structure of KMgBe2H8, from Alexandria.

Output
calculated volume = 126 Å³ per cell
M_tot = 0.00 μB/cell
energy = -3.03 eV/atom

POSCAR file:
```
KMgBe2H8
1.0
4.164 0.000 0.000
-2.082 3.606 0.000
0.000 0.000 8.413
K Mg Be H
1 1 2 8
direct
0.000 0.000 0.000
0.000 0.000 0.500
0.667 0.333 0.293
0.333 0.667 0.707
0.333 0.667 0.874
0.366 0.375 0.359
0.625 0.992 0.359
0.667 0.333 0.126
0.375 0.008 0.641
0.634 0.625 0.641
0.992 0.366 0.641
0.008 0.634 0.359
```

---

(15)
The following is a PBE calculation of a relaxed structure of KNaBeH4, from Alexandria.

Output
calculated volume = 190 Å³ per cell
M_tot = 0.00 μB/cell
energy = -3.03 eV/atom

POSCAR file:
```
KNaBeH4
1.0
-2.969 2.238 -3.277
-1.644 -1.921 4.262
1.456 8.095 4.210
K Na Be H
2 2 2 8
direct
0.500 0.500 0.500
0.500 0.500 0.000
0.792 0.208 0.250
0.208 0.792 0.750
0.122 0.878 0.250
0.878 0.122 0.750
0.217 0.270 0.750
0.730 0.783 0.750
0.784 0.216 0.880
0.784 0.216 0.620
0.216 0.784 0.120
0.216 0.784 0.380
0.783 0.730 0.250
0.270 0.217 0.250
```

---

(16)
The following is a PBE calculation of a relaxed structure of KBeNiH6, from Alexandria.

Output
calculated volume = 85 Å³ per cell
M_tot = 0.00 μB/cell
energy = -3.52 eV/atom

POSCAR file:
```
KBeNiH6
1.0
4.264 0.000 0.000
2.132 3.693 0.000
0.000 0.000 5.383
K Be Ni H
1 1 1 6
direct
0.000 0.000 0.000
0.667 0.667 0.500
0.333 0.333 0.500
0.004 0.449 0.319
0.449 0.004 0.681
0.547 0.449 0.681
0.004 0.547 0.681
0.449 0.547 0.319
0.547 0.004 0.319
```

---

(17)
The following is a PBE calculation of a relaxed structure of K2BeH4S2O10, from Alexandria.

Output
calculated volume = 972 Å³ per cell
M_tot = 0.51 μB/cell
energy = -5.70 eV/atom

POSCAR file:
```
K2BeH4S2O10
1.0
-1.133 -11.646 -0.280
-0.028 -0.175 7.406
-11.163 1.060 1.106
K Be H S O
8 4 16 8 40
direct
0.758 0.985 0.907
0.258 0.515 0.093
0.242 0.015 0.093
0.742 0.485 0.907
0.904 0.321 0.607
0.404 0.179 0.393
0.096 0.679 0.393
0.596 0.821 0.607
0.918 0.088 0.237
0.418 0.412 0.763
0.082 0.912 0.763
0.582 0.588 0.237
0.514 0.792 0.090
0.014 0.708 0.910
0.486 0.208 0.910
0.986 0.292 0.090
0.584 0.900 0.186
0.084 0.600 0.814
0.416 0.100 0.814
0.916 0.400 0.186
0.770 0.610 0.292
0.270 0.890 0.708
0.811 0.036 0.407
0.730 0.110 0.292
0.689 0.536 0.407
0.189 0.964 0.593
0.311 0.464 0.593
0.230 0.390 0.708
0.946 0.750 0.127
0.446 0.750 0.873
0.054 0.250 0.873
0.554 0.250 0.127
0.885 0.831 0.632
0.385 0.669 0.368
0.115 0.169 0.368
0.615 0.331 0.632
0.400 0.884 0.776
0.572 0.747 0.867
0.928 0.247 0.867
0.428 0.253 0.133
0.906 0.703 0.008
0.406 0.797 0.992
0.094 0.297 0.992
0.594 0.203 0.008
0.900 0.616 0.224
0.072 0.753 0.133
0.100 0.384 0.776
0.600 0.116 0.224
0.897 0.935 0.142
0.397 0.565 0.858
0.103 0.065 0.858
0.603 0.435 0.142
0.948 0.692 0.575
0.448 0.808 0.425
0.052 0.308 0.425
0.552 0.192 0.575
0.812 0.751 0.730
0.312 0.749 0.270
0.188 0.249 0.270
0.688 0.251 0.730
0.814 0.948 0.545
0.314 0.552 0.455
0.186 0.052 0.455
0.686 0.448 0.545
0.970 0.961 0.683
0.470 0.539 0.317
0.030 0.039 0.317
0.530 0.461 0.683
0.809 0.103 0.325
0.309 0.397 0.675
0.191 0.897 0.675
0.691 0.603 0.325
0.923 0.281 0.151
0.577 0.781 0.151
0.077 0.719 0.849
0.423 0.219 0.849
```

---

(18)
The following is a PBE calculation of a relaxed structure of K2Be2P2H, from Alexandria.

Output
calculated volume = 130 Å³ per cell
M_tot = 0.00 μB/cell
energy = -3.66 eV/atom

POSCAR file:
```
K2Be2P2H
1.0
-2.204 -0.506 -3.054
1.962 -4.490 -3.036
-4.023 -5.159 1.394
K Be P H
2 2 2 1
direct
0.557 0.216 0.670
0.443 0.784 0.330
0.169 0.728 0.935
0.831 0.272 0.065
0.220 0.370 0.191
0.780 0.630 0.809
0.000 0.000 0.000
```

---

(19)
The following is a PBE calculation of a relaxed structure of KBeHPd2, from Alexandria.

Output
calculated volume = 159 Å³ per cell
M_tot = 0.49 μB/cell
energy = -1.64 eV/atom

POSCAR file:
```
KBeHPd2
1.0
-1.693 -0.900 -4.900
1.188 -5.572 0.613
-4.861 -0.835 1.832
Be K Pd H
1 1 2 1
direct
0.000 0.500 0.000
0.000 0.000 0.000
0.000 0.000 0.500
0.500 0.000 0.000
0.500 0.500 0.500
```